Computed, not measured: Sm5Ho4Th after structural relaxation at the PBE level of DFT.

Structure (CIF):
```
data_Sm5Ho4Th
_symmetry_space_group_name_H-M 'I 4'
_symmetry_Int_Tables_number 79
_cell_length_a 10.222
_cell_length_b 10.222
_cell_length_c 6.388
_cell_angle_alpha 90.00
_cell_angle_beta 90.00
_cell_angle_gamma 90.00
loop_
_symmetry_equiv_pos_as_xyz
'x,y,z'
'-y,x,z'
'-x,-y,z'
'y,-x,z'
'x+1/2,y+1/2,z+1/2'
'-y+1/2,x+1/2,z+1/2'
'-x+1/2,-y+1/2,z+1/2'
'y+1/2,-x+1/2,z+1/2'
loop_
_atom_site_label
_atom_site_type_symbol
_atom_site_fract_x
_atom_site_fract_y
_atom_site_fract_z
_atom_site_occupancy
Sm1 Sm 0.000 0.000 0.000 1
Sm2 Sm 0.147 0.231 0.737 1
Ho1 Ho 0.046 0.344 0.242 1
Th1 Th 0.000 0.000 0.463 1
```

Values from the calculation:
- relative energy among the computed polymorphs (meV per atom) = 276
- crystal system = tetragonal
- calculated volume (Å³ per atom) = 33.37
- DFT total energy (eV/cell) = -92.329
- E_form (eV/atom) = 0.316
- N(E_F) (states/eV/cell) = 28.75

***

Computed, not measured: Sm2Ho5Th4 after structural relaxation at the PBE level of DFT.

Structure (CIF):
```
data_Sm2Ho5Th4
_symmetry_space_group_name_H-M 'C 1 2/m 1'
_symmetry_Int_Tables_number 12
_cell_length_a 16.739
_cell_length_b 6.676
_cell_length_c 6.577
_cell_angle_alpha 90.00
_cell_angle_beta 99.72
_cell_angle_gamma 90.00
loop_
_symmetry_equiv_pos_as_xyz
'x,y,z'
'-x,-y,-z'
'-x,y,-z'
'x,-y,z'
'x+1/2,y+1/2,z'
'-x+1/2,-y+1/2,-z'
'-x+1/2,y+1/2,-z'
'x+1/2,-y+1/2,z'
loop_
_atom_site_label
_atom_site_type_symbol
_atom_site_fract_x
_atom_site_fract_y
_atom_site_fract_z
_atom_site_occupancy
Sm1 Sm 0.197 0.000 0.325 1
Ho1 Ho 0.000 0.000 0.500 1
Ho2 Ho 0.086 0.261 0.904 1
Th1 Th 0.092 0.500 0.408 1
Th2 Th 0.248 0.000 0.841 1
```

Values from the calculation:
- relative energy among the computed polymorphs (meV per atom) = 161
- crystal system = monoclinic
- calculated volume (Å³ per atom) = 32.93
- DFT total energy (eV/cell) = -119.791
- E_form (eV/atom) = 0.192
- N(E_F) (states/eV/cell) = 31.46

***

Computed, not measured: Sm2Ho2Th3 after structural relaxation at the PBE level of DFT.

Structure (CIF):
```
data_Sm2Ho2Th3
_symmetry_space_group_name_H-M 'C 1 2/m 1'
_symmetry_Int_Tables_number 12
_cell_length_a 17.497
_cell_length_b 3.475
_cell_length_c 8.507
_cell_angle_alpha 90.00
_cell_angle_beta 117.48
_cell_angle_gamma 90.00
loop_
_symmetry_equiv_pos_as_xyz
'x,y,z'
'-x,-y,-z'
'-x,y,-z'
'x,-y,z'
'x+1/2,y+1/2,z'
'-x+1/2,-y+1/2,-z'
'-x+1/2,y+1/2,-z'
'x+1/2,-y+1/2,z'
loop_
_atom_site_label
_atom_site_type_symbol
_atom_site_fract_x
_atom_site_fract_y
_atom_site_fract_z
_atom_site_occupancy
Sm1 Sm 0.069 0.000 0.404 1
Ho1 Ho 0.150 0.500 0.840 1
Th1 Th 0.000 0.500 0.000 1
Th2 Th 0.213 0.500 0.292 1
```

Values from the calculation:
- relative energy among the computed polymorphs (meV per atom) = 66
- crystal system = monoclinic
- calculated volume (Å³ per atom) = 32.78
- DFT total energy (eV/cell) = -79.681
- E_form (eV/atom) = 0.145
- N(E_F) (states/eV/cell) = 21.30

***

Computed, not measured: Sm6Ho12Th after structural relaxation at the PBE level of DFT.

Structure (CIF):
```
data_Sm6Ho12Th
_symmetry_space_group_name_H-M 'R -3 m'
_symmetry_Int_Tables_number 166
_symmetry_space_group_name_Hall '-R 3 2"'
_cell_length_a 13.2801
_cell_length_b 13.2801
_cell_length_c 12.3677
_cell_angle_alpha 90.00
_cell_angle_beta 90.00
_cell_angle_gamma 120.00
loop_
_atom_site_label
_atom_site_type_symbol
_atom_site_fract_x
_atom_site_fract_y
_atom_site_fract_z
_atom_site_occupancy
Sm1 Sm 0.0384 0.5192 0.1203 1
Ho1 Ho 0.0000 0.2563 0.0000 1
Ho2 Ho 0.0903 0.1807 0.7586 1
Th1 Th 0.0000 0.0000 0.5000 1
```

Values from the calculation:
- relative energy among the computed polymorphs (meV per atom) = 74
- crystal system = trigonal
- calculated volume (Å³ per atom) = 33.14
- DFT total energy (eV/cell) = -259.278
- E_form (eV/atom) = 0.223
- N(E_F) (states/eV/cell) = 98.86

***

Computed, not measured: SmHo4Th3 after structural relaxation at the PBE level of DFT.

Structure (CIF):
```
data_SmHo4Th3
_symmetry_space_group_name_H-M 'P m m n'
_symmetry_Int_Tables_number 59
_cell_length_a 5.032
_cell_length_b 10.085
_cell_length_c 10.094
_cell_angle_alpha 90.00
_cell_angle_beta 90.00
_cell_angle_gamma 90.00
loop_
_symmetry_equiv_pos_as_xyz
'x,y,z'
'-x,-y,-z'
'-x+1/2,-y+1/2,z'
'x+1/2,y+1/2,-z'
'x+1/2,-y,-z'
'-x+1/2,y,z'
'-x,y+1/2,-z'
'x,-y+1/2,z'
loop_
_atom_site_label
_atom_site_type_symbol
_atom_site_fract_x
_atom_site_fract_y
_atom_site_fract_z
_atom_site_occupancy
Sm1 Sm 0.250 0.250 0.124 1
Ho1 Ho 0.250 0.250 0.629 1
Ho2 Ho 0.250 0.502 0.375 1
Ho3 Ho 0.250 0.750 0.624 1
Th1 Th 0.250 0.003 0.875 1
Th2 Th 0.250 0.750 0.126 1
```

Values from the calculation:
- relative energy among the computed polymorphs (meV per atom) = 0
- crystal system = orthorhombic
- calculated volume (Å³ per atom) = 32.01
- DFT total energy (eV/cell) = -89.896
- E_form (eV/atom) = 0.043
- N(E_F) (states/eV/cell) = 24.33

***

Computed, not measured: Sm4Ho5Th after structural relaxation at the PBE level of DFT.

Structure (CIF):
```
data_Sm4Ho5Th
_symmetry_space_group_name_H-M 'C 1 2/m 1'
_symmetry_Int_Tables_number 12
_cell_length_a 11.718
_cell_length_b 5.463
_cell_length_c 10.427
_cell_angle_alpha 90.00
_cell_angle_beta 90.49
_cell_angle_gamma 90.00
loop_
_symmetry_equiv_pos_as_xyz
'x,y,z'
'-x,-y,-z'
'-x,y,-z'
'x,-y,z'
'x+1/2,y+1/2,z'
'-x+1/2,-y+1/2,-z'
'-x+1/2,y+1/2,-z'
'x+1/2,-y+1/2,z'
loop_
_atom_site_label
_atom_site_type_symbol
_atom_site_fract_x
_atom_site_fract_y
_atom_site_fract_z
_atom_site_occupancy
Sm1 Sm 0.050 0.000 0.251 1
Sm2 Sm 0.171 0.500 0.749 1
Ho1 Ho 0.000 0.500 0.500 1
Ho2 Ho 0.193 0.000 0.937 1
Ho3 Ho 0.197 0.000 0.567 1
Th1 Th 0.000 0.500 0.000 1
```

Values from the calculation:
- relative energy among the computed polymorphs (meV per atom) = 0
- crystal system = monoclinic
- calculated volume (Å³ per atom) = 33.37
- DFT total energy (eV/cell) = -94.551
- E_form (eV/atom) = 0.191
- N(E_F) (states/eV/cell) = 30.67

***

Computed, not measured: Sm2Ho2Th after structural relaxation at the PBE level of DFT.

Structure (CIF):
```
data_Sm2Ho2Th
_symmetry_space_group_name_H-M 'R -3 m'
_symmetry_Int_Tables_number 166
_symmetry_space_group_name_Hall '-R 3 2"'
_cell_length_a 3.5879
_cell_length_b 3.5879
_cell_length_c 43.4515
_cell_angle_alpha 90.00
_cell_angle_beta 90.00
_cell_angle_gamma 120.00
loop_
_atom_site_label
_atom_site_type_symbol
_atom_site_fract_x
_atom_site_fract_y
_atom_site_fract_z
_atom_site_occupancy
Sm1 Sm 0.0000 0.0000 0.2004 1
Ho1 Ho 0.0000 0.0000 0.3979 1
Th1 Th 0.0000 0.0000 0.0000 1
```

Values from the calculation:
- relative energy among the computed polymorphs (meV per atom) = 0
- crystal system = trigonal
- calculated volume (Å³ per atom) = 32.29
- DFT total energy (eV/cell) = -77.845
- E_form (eV/atom) = 0.013
- N(E_F) (states/eV/cell) = 17.83

***

Computed, not measured: Sm7Ho3Th after structural relaxation at the PBE level of DFT.

Structure (CIF):
```
data_Sm7Ho3Th
_symmetry_space_group_name_H-M 'C m c m'
_symmetry_Int_Tables_number 63
_symmetry_space_group_name_Hall '-C 2c 2'
_cell_length_a 17.053
_cell_length_b 10.777
_cell_length_c 8.237
_cell_angle_alpha 90.00
_cell_angle_beta 90.00
_cell_angle_gamma 90.00
loop_
_atom_site_label
_atom_site_type_symbol
_atom_site_fract_x
_atom_site_fract_y
_atom_site_fract_z
_atom_site_occupancy
Sm1 Sm 0.000 0.248 0.250 1
Sm2 Sm 0.144 0.246 0.559 1
Sm3 Sm 0.167 0.452 0.250 1
Ho1 Ho 0.000 0.500 0.000 1
Ho2 Ho 0.162 0.052 0.250 1
Th1 Th 0.000 0.000 0.000 1
```

Values from the calculation:
- relative energy among the computed polymorphs (meV per atom) = 103
- crystal system = orthorhombic
- calculated volume (Å³ per atom) = 34.41
- DFT total energy (eV/cell) = -203.770
- E_form (eV/atom) = 0.295
- N(E_F) (states/eV/cell) = 73.37

***

Computed, not measured: Sm3Ho4Th2 after structural relaxation at the PBE level of DFT.

Structure (CIF):
```
data_Sm3Ho4Th2
_symmetry_space_group_name_H-M 'C 1 2/m 1'
_symmetry_Int_Tables_number 12
_cell_length_a 18.725
_cell_length_b 3.598
_cell_length_c 9.547
_cell_angle_alpha 90.00
_cell_angle_beta 115.59
_cell_angle_gamma 90.00
loop_
_symmetry_equiv_pos_as_xyz
'x,y,z'
'-x,-y,-z'
'-x,y,-z'
'x,-y,z'
'x+1/2,y+1/2,z'
'-x+1/2,-y+1/2,-z'
'-x+1/2,y+1/2,-z'
'x+1/2,-y+1/2,z'
loop_
_atom_site_label
_atom_site_type_symbol
_atom_site_fract_x
_atom_site_fract_y
_atom_site_fract_z
_atom_site_occupancy
Sm1 Sm 0.000 0.000 0.000 1
Sm2 Sm 0.149 0.000 0.671 1
Ho1 Ho 0.018 0.500 0.331 1
Ho2 Ho 0.185 0.000 0.331 1
Th1 Th 0.168 0.500 0.001 1
```

Values from the calculation:
- relative energy among the computed polymorphs (meV per atom) = 0
- crystal system = monoclinic
- calculated volume (Å³ per atom) = 32.22
- DFT total energy (eV/cell) = -94.562
- E_form (eV/atom) = 0.003
- N(E_F) (states/eV/cell) = 23.05

***

Computed, not measured: Sm8Ho2Th after structural relaxation at the PBE level of DFT.

Structure (CIF):
```
data_Sm8Ho2Th
_symmetry_space_group_name_H-M 'C 1 2/m 1'
_symmetry_Int_Tables_number 12
_cell_length_a 19.366
_cell_length_b 6.930
_cell_length_c 5.649
_cell_angle_alpha 90.00
_cell_angle_beta 93.95
_cell_angle_gamma 90.00
loop_
_symmetry_equiv_pos_as_xyz
'x,y,z'
'-x,-y,-z'
'-x,y,-z'
'x,-y,z'
'x+1/2,y+1/2,z'
'-x+1/2,-y+1/2,-z'
'-x+1/2,y+1/2,-z'
'x+1/2,-y+1/2,z'
loop_
_atom_site_label
_atom_site_type_symbol
_atom_site_fract_x
_atom_site_fract_y
_atom_site_fract_z
_atom_site_occupancy
Sm1 Sm 0.046 0.000 0.234 1
Sm2 Sm 0.131 0.237 0.727 1
Sm3 Sm 0.185 0.500 0.225 1
Ho1 Ho 0.217 0.000 0.255 1
Th1 Th 0.000 0.500 0.000 1
```

Values from the calculation:
- relative energy among the computed polymorphs (meV per atom) = 161
- crystal system = monoclinic
- calculated volume (Å³ per atom) = 34.38
- DFT total energy (eV/cell) = -104.441
- E_form (eV/atom) = 0.192
- N(E_F) (states/eV/cell) = 37.25